i:
The following is a DFT calculation (PBEsol) of a relaxed Tm2TeO6 crystal.

a b c (Å): 4.8853 4.8853 9.8617
angles (deg): 90.00 90.00 90.00
Fractional coordinates of all 18 atoms:
Tm (0.0000, 0.0000, 0.1655)
Tm (0.0000, 0.0000, 0.8345)
Tm (0.5000, 0.5000, 0.3345)
Tm (0.5000, 0.5000, 0.6655)
Te (0.0000, 0.0000, 0.5000)
Te (0.5000, 0.5000, 0.0000)
O (0.1849, 0.1849, 0.3518)
O (0.1849, 0.1849, 0.6482)
O (0.2184, 0.2184, 0.0000)
O (0.2816, 0.7184, 0.5000)
O (0.3151, 0.6849, 0.1482)
O (0.3151, 0.6849, 0.8518)
O (0.6849, 0.3151, 0.1482)
O (0.6849, 0.3151, 0.8518)
O (0.7184, 0.2816, 0.5000)
O (0.7816, 0.7816, 0.0000)
O (0.8151, 0.8151, 0.3518)
O (0.8151, 0.8151, 0.6482)

Space-group type ... P4_2/mnm (136)
Total magnetization ... 0.00 μB/cell

=====

ii:
The following is a DFT calculation (PBEsol) of a relaxed Tm2TeO6 crystal.

a b c (Å): 5.1830 8.9327 9.7883
angles (deg): 90.00 90.00 90.00
Fractional coordinates of all 36 atoms:
Tm (0.0190, 0.1031, 0.4642)
Tm (0.0415, 0.2177, 0.8674)
Tm (0.4585, 0.7823, 0.3674)
Tm (0.4810, 0.8969, 0.9642)
Tm (0.5190, 0.3969, 0.5358)
Tm (0.5415, 0.2823, 0.1326)
Tm (0.9585, 0.7177, 0.6326)
Tm (0.9810, 0.6031, 0.0358)
Te (0.0387, 0.4945, 0.3500)
Te (0.4613, 0.5055, 0.8500)
Te (0.5387, 0.0055, 0.6500)
Te (0.9613, 0.9945, 0.1500)
O (0.0878, 0.8426, 0.0277)
O (0.1708, 0.9491, 0.3042)
O (0.1737, 0.6419, 0.8203)
O (0.1898, 0.6437, 0.2349)
O (0.2377, 0.1147, 0.0689)
O (0.2452, 0.5877, 0.4957)
O (0.2548, 0.4123, 0.9957)
O (0.2623, 0.8853, 0.5689)
O (0.3102, 0.3563, 0.7349)
O (0.3263, 0.3581, 0.3203)
O (0.3292, 0.0509, 0.8042)
O (0.4122, 0.1574, 0.5277)
O (0.5878, 0.6574, 0.9723)
O (0.6708, 0.5509, 0.6958)
O (0.6737, 0.8581, 0.1797)
O (0.6898, 0.8563, 0.7651)
O (0.7377, 0.3853, 0.9311)
O (0.7452, 0.9123, 0.5043)
O (0.7548, 0.0877, 0.0043)
O (0.7623, 0.6147, 0.4311)
O (0.8102, 0.1437, 0.2651)
O (0.8263, 0.1419, 0.6797)
O (0.8292, 0.4491, 0.1958)
O (0.9122, 0.3426, 0.4723)

Space-group type ... P2_12_12_1 (19)
Total magnetization ... 0.00 μB/cell

=====

Name the least stable of them. i.

=====

i:
The following is a DFT calculation (PBEsol) of a relaxed TeWO6 crystal.

a b c (Å): 5.3597 5.3597 5.3597
angles (deg): 60.00 60.00 60.00
Fractional coordinates of all 8 atoms:
Te (0.0000, 0.0000, 0.0000)
W (0.5000, 0.5000, 0.5000)
O (0.2503, 0.2503, 0.7497)
O (0.2503, 0.7497, 0.2503)
O (0.2503, 0.7497, 0.7497)
O (0.7497, 0.2503, 0.2503)
O (0.7497, 0.2503, 0.7497)
O (0.7497, 0.7497, 0.2503)

Space-group type ... Fm-3m (225)
Total magnetization ... 0.00 μB/cell

=====

ii:
The following is a DFT calculation (PBEsol) of a relaxed TeWO6 crystal.

a b c (Å): 5.1201 5.2791 8.9654
angles (deg): 90.00 124.80 90.00
Fractional coordinates of all 16 atoms:
Te (0.0000, 0.0000, 0.0000)
Te (0.0000, 0.5000, 0.5000)
W (0.5000, 0.0000, 0.5000)
W (0.5000, 0.5000, 0.0000)
O (0.1509, 0.2014, 0.4516)
O (0.1509, 0.2986, 0.9516)
O (0.2515, 0.7040, 0.4505)
O (0.2515, 0.7960, 0.9505)
O (0.3489, 0.0155, 0.2506)
O (0.3489, 0.4845, 0.7506)
O (0.6511, 0.5155, 0.2494)
O (0.6511, 0.9845, 0.7494)
O (0.7485, 0.2040, 0.0495)
O (0.7485, 0.2960, 0.5495)
O (0.8491, 0.7014, 0.0484)
O (0.8491, 0.7986, 0.5484)

Space-group type ... P2_1/c (14)
Total magnetization ... 0.00 μB/cell

=====

Name the least stable of them. i.